Record 1
The following is a DFT calculation (PBE-GGA) of a relaxed structure of Pm3Sb2Au9.

abc: 4.4148 8.8521 8.8521
angles: 73.57 75.56 75.56
Last column: nearest neighbours and their distance in Å.
Sites, in units of the cell vectors:
Pm: 0.0000 0.0000 0.0000  8 Au 3.27
Pm: 0.7090 0.2910 0.2910  10 Au 3.22-3.58, 2 Sb 3.44
Pm: 0.2910 0.7090 0.7090  10 Au 3.22-3.58, 2 Sb 3.44
Sb: 0.5000 0.3136 0.6864  8 Au 2.82-2.99
Sb: 0.5000 0.6864 0.3136  8 Au 2.82-2.99
Au: 0.0000 0.5000 0.5000  4 Sb 2.96, 4 Au 2.98
Au: 0.6486 0.9783 0.7245  4 Au 2.69-2.86, 1 Sb 2.82
Au: 0.3514 0.0217 0.2755  4 Au 2.69-2.86, 1 Sb 2.82
Au: 0.6486 0.7245 0.9783  4 Au 2.69-2.86, 1 Sb 2.82
Au: 0.3514 0.2755 0.0217  4 Au 2.69-2.86, 1 Sb 2.82
Au: 0.8510 0.8571 0.4409  4 Au 2.82-2.98, 2 Sb 2.99
Au: 0.1490 0.1429 0.5591  4 Au 2.82-2.98, 2 Sb 2.99
Au: 0.8510 0.4409 0.8571  4 Au 2.82-2.98, 2 Sb 2.99
Au: 0.1490 0.5591 0.1429  4 Au 2.82-2.98, 2 Sb 2.99

***

Record 2
The following is a DFT calculation (PBE-GGA) of a relaxed structure of Ag2RuCl.

abc: 3.0083 2.9368 8.3214
angles: 89.62 90.00 90.00
Last column: nearest neighbours and their distance in Å.
Sites, in units of the cell vectors:
Ag: 0.0000 0.2452 0.9848  2 Cl 2.67, 4 Ru 2.87, 2 Ag 2.94
Ag: 0.0000 0.2548 0.5152  2 Cl 2.67, 4 Ru 2.87, 2 Ag 2.94
Cl: 0.5000 0.2500 0.2500  4 Ag 2.67, 2 Cl 2.94
Ru: 0.5000 0.7500 0.7500  8 Ag 2.87, 4 Ru 2.94-3.01

***

Record 3
The following is a DFT calculation (PBE-GGA) of a relaxed structure of LiTiSbIr2.

abc: 4.2405 4.4040 4.2405
angles: 90.00 90.00 90.00
Last column: nearest neighbours and their distance in Å.
Sites, in units of the cell vectors:
Sb: 0.0000 0.5000 0.0000  2 Li 2.20
Ir: 0.0000 0.0000 0.5000  2 Li 2.12
Ir: 0.5000 0.0000 0.0000  2 Li 2.12
Li: 0.0000 0.0000 0.0000  4 Ir 2.12, 2 Sb 2.20
Ti: 0.5000 0.5000 0.5000  4 Sb 3.00, 8 Ir 3.06

***

| no. | VASP energy (Ry/atom) | formation energy without anion corrections (eV per atom) |
| --- | --- | --- |
| 1 | -0.3114 | -0.5234 |
| 2 | -0.2792 | 0.4070 |
| 3 | -0.4327 | 0.4435 |